No. 1
The following is a PBE calculation of a relaxed structure of Ti4AlIr, from the Alexandria database.

Summary:
VASP energy: -7.4459 eV/atom
Polymorph energy (0 for the lowest one): 391.4 meV per atom
Symmetry: P4/mmm (123)

Structure (extended XYZ):
```
6
Lattice="-2.3191 -2.8370 -2.1891 3.3097 -0.6957 -2.6046 2.0247 -4.5845 3.7951" Properties=species:S:1:pos:R:3 pbc="T T T"
Ti 2.6664 -3.3126 -2.7038
Ti 3.6270 -5.4868 -0.9051
Ti 3.1314 -3.7203 1.4917
Ti 2.1713 -1.5464 -0.3068
Al 2.5044 -6.3441 1.3954
Ir 4.3064 -2.9813 -0.7099
```



No. 2
The following is a PBE calculation of a relaxed structure of TiAl3Ir, from the Alexandria database.

Summary:
VASP energy: -6.2212 eV/atom
Polymorph energy (0 for the lowest one): 0.0 meV per atom
Symmetry: Pm-3m (221)

Structure (extended XYZ):
```
15
Lattice="-4.9615 -3.2207 -1.7002 1.4228 -4.3590 4.1054 -3.3525 2.9165 4.2585" Properties=species:S:1:pos:R:3 pbc="T T T"
Ti -0.9649 -0.7213 4.1819
Ti -4.1570 -0.1521 1.2791
Ti -1.7693 -3.7898 1.2026
Al -3.4456 -2.3316 3.3318
Al -1.5323 -1.0369 1.4817
Al -3.4973 -5.2458 2.8173
Al -6.1489 -1.2058 2.9023
Al -2.6039 -1.8379 6.1260
Al -3.3939 0.5825 3.8464
Al -5.3589 -3.6263 5.1819
Al -0.7423 -3.4574 3.7614
Al -4.2873 -2.8253 0.5376
Ir -2.4807 -1.6103 -0.8501
Ir 0.7114 -2.1795 2.0527
Ir -1.6762 1.4582 2.1292
```



| no. | formation energy (kJ/mol of formula units) | magnetic moment (μB per formula unit) |
| --- | --- | --- |
| 1 | -47 | 0.00 |
| 2 | -301 | 0.65 |